Record 1
A relaxed Rb3RuF6 crystal. Source: Alexandria via LeMat-Bulk, functional GGA-PBE.

abc: 6.338 6.410 6.640
angles: 61.80 62.05 61.40
Space group P-1 (No. 2)
Inequivalent atoms, fractional coordinates:
Rb (0.000, 0.000, 0.000) x1
Rb (0.252, 0.243, 0.270) x2
Ru (0.500, 0.500, 0.500) x1
F (0.217, 0.353, 0.659) x2
F (0.264, 0.777, 0.654) x2
F (0.383, 0.717, 0.204) x2


Record 2
A relaxed RbRu2F8 crystal. Source: Alexandria via LeMat-Bulk, functional GGA-PBE.

abc: 4.485 6.601 6.859
angles: 101.84 91.98 90.52
Space group P-1 (No. 2)
Inequivalent atoms, fractional coordinates:
Rb (0.000, 0.000, 0.000) x1
Ru (0.305, 0.398, 0.602) x2
F (0.186, 0.595, 0.404) x2
F (0.271, 0.169, 0.382) x2
F (0.301, 0.634, 0.817) x2
F (0.372, 0.219, 0.783) x2


Record 3
A relaxed Rb3RuF12 crystal. Source: Alexandria via LeMat-Bulk, functional GGA-PBE.

Properties
Energy above the lowest structure with this stoichiometry in meV per atom: 173

abc: 7.308 15.141 6.188
angles: 90.00 106.20 90.00
Space group C2/m (No. 12)
Inequivalent atoms, fractional coordinates:
Rb (0.000, 0.000, 0.000) x2
Rb (0.250, 0.250, 0.500) x4
Ru (0.000, 0.500, 0.500) x2
F (0.110, 0.166, 0.794) x8
F (0.133, 0.411, 0.698) x8
F (0.213, 0.061, 0.701) x8


Record 4
A relaxed Rb6RuF12 crystal. Source: Alexandria via LeMat-Bulk, functional GGA-PBE.

abc: 12.1231 12.1231 11.3078
angles: 90.00 90.00 120.00
Space group R-3 (No. 148, hexagonal axes)
Inequivalent atoms, fractional coordinates:
Rb (0.0282, 0.7919, 0.1426) x18
Ru (0.0000, 0.0000, 0.5000) x3
F (0.0216, 0.7940, 0.8977) x18
F (0.0259, 0.8861, 0.4036) x18


What density values result from the calculations? In sequence: 3.951; 3.675; 2.957; 2.914 g/cm3.
What Fermi-level density of states values result from the calculations? In sequence: 11.0; 3.4; 8.9; 49.2 states/eV per cell.
What formation energy (no corrections) values result from the calculations? In sequence: -2.35; -1.79; -1.44; -2.30 eV/atom.